(P)
Entry from Alexandria: a geometry-optimized Be2ZnHg structure (GGA-PBE).

Structure (POSCAR):
```
Be2ZnHg
1.0
-0.594 -1.852 -4.387
3.986 -1.383 2.963
-0.623 -2.492 1.724
Be Zn Hg
2 1 1
direct
0.500 0.000 0.500
0.000 0.000 0.000
0.500 0.500 0.000
0.000 0.500 0.500
```

Results
SG	C2/m
DOS(E_F)	0.27	states/eV per atom



(Q)
Entry from Alexandria: a geometry-optimized Be2ZnHg structure (GGA-PBE).

Structure (POSCAR):
```
Be2ZnHg
1.0
8.422 0.003 0.002
7.933 2.830 0.002
7.933 1.374 2.474
Be Hg Zn
2 1 1
direct
0.994 0.994 0.994
0.264 0.264 0.264
0.508 0.508 0.508
0.734 0.734 0.734
```

Results
SG	R3m
DOS(E_F)	0.24	states/eV per atom



(R)
Entry from Alexandria: a geometry-optimized Be2ZnHg structure (GGA-PBE).

Structure (POSCAR):
```
Be2ZnHg
1.0
-0.477 -4.220 0.689
3.448 -2.458 0.762
0.657 -1.626 3.929
Zn Be Hg
1 2 1
direct
0.250 0.250 0.250
0.750 0.750 0.750
0.000 0.000 0.000
0.500 0.500 0.500
```

Results
SG	F-43m
DOS(E_F)	0.49	states/eV per atom



(S)
Entry from Alexandria: a geometry-optimized Be2ZnHg structure (GGA-PBE).

Structure (POSCAR):
```
Be2ZnHg
1.0
-4.060 -0.166 6.971
-2.703 -2.741 7.091
-1.322 -0.326 7.953
Zn Hg Be
1 1 2
direct
0.750 0.750 0.750
0.250 0.250 0.250
0.492 0.492 0.492
0.008 0.008 0.008
```

Results
SG	R-3m
DOS(E_F)	0.23	states/eV per atom



If we sort the structures by their calculated energies, the order from most to least stable is (P), (Q), (S), (R).